! GGA-PBE Ba7Na2Sr, optimized geometry; values from VASP
&SYSTEM
  ibrav = 0, nat = 10, ntyp = 3
/
ATOMIC_SPECIES
Ba 137.33 Ba.upf
Na 22.99 Na.upf
Sr 87.62 Sr.upf
CELL_PARAMETERS angstrom
7.317 -9.592 0.000
7.317 9.592 0.000
0.000 0.000 4.397
ATOMIC_POSITIONS angstrom
Ba 0.000 0.000 0.000
Ba 3.721 2.351 0.000
Ba 7.317 5.862 2.198
Ba 3.721 -2.351 0.000
Ba 10.912 2.351 0.000
Ba 7.317 -5.862 2.198
Ba 10.912 -2.351 0.000
Na 7.317 2.931 0.000
Na 7.317 -2.931 0.000
Sr 7.317 0.000 2.198
! Space-group type: Cmmm, No. 65
! Formation energy, eV/atom: 0.165
! Size of the total moment, Bohr magnetons per cell: 0.015